Crystalline LiReMoPb at its relaxed geometry, computed with PBE.

Values from the calculation:
- calculated volume (Å³/atom) = 16.4
- ρ (g/cm3) = 12.590
- total magnetic moment (Bohr magnetons per cell) = 0.00
- E above lowest polymorph (meV/atom) = 0.0

POSCAR file:
```
LiReMoPb
1.0
0.000 3.199 3.199
3.199 0.000 3.199
3.199 3.199 0.000
Li Mo Re Pb
1 1 1 1
Direct
0.750 0.750 0.750
0.000 0.000 0.000
0.250 0.250 0.250
0.500 0.500 0.500
```

=====

Crystalline TbHoNi2I2 at its relaxed geometry, computed with PBE.

Values from the calculation:
- calculated volume (Å³/atom) = 28.3
- uncorrected energy (eV for the cell shown) = -28.8
- ρ (g/cm3) = 6.798
- total magnetic moment (Bohr magnetons per cell) = 0.18

POSCAR file:
```
TbHoNi2I2
1.0
4.065 0.000 0.000
-2.032 3.520 0.000
0.000 0.000 11.864
Tb I Ni Ho
1 2 2 1
Direct
0.000 0.000 0.850
0.333 0.667 0.668
0.667 0.333 0.329
0.333 0.667 0.008
0.667 0.333 0.995
0.000 0.000 0.150
```

=====

Crystalline BiMoPb at its relaxed geometry, computed with PBE.

Values from the calculation:
- calculated volume (Å³/atom) = 30.5
- ρ (g/cm3) = 9.307
- total magnetic moment (Bohr magnetons per cell) = 3.08
- E above lowest polymorph (meV/atom) = 0.0

POSCAR file:
```
BiMoPb
1.0
1.895 -4.455 -1.456
-2.907 -3.282 -2.517
0.863 -0.900 -4.899
Bi Mo Pb
1 1 1
Direct
0.000 0.000 0.000
0.250 0.250 0.250
0.750 0.750 0.750
```

=====

Crystalline Nd2Al9Co3 at its relaxed geometry, computed with PBE.

Values from the calculation:
- calculated volume (Å³/atom) = 16.3
- uncorrected energy (eV for the cell shown) = -143.7
- ρ (g/cm3) = 5.139
- total magnetic moment (Bohr magnetons per cell) = 0.00

POSCAR file:
```
Nd2Al9Co3
1.0
6.415 -3.767 0.000
-6.415 -3.767 0.000
0.000 0.000 -9.467
Co Al Nd
6 18 4
Direct
0.670 0.330 0.000
0.000 0.000 0.500
0.330 0.670 0.000
0.000 0.000 0.000
0.330 0.670 0.500
0.670 0.330 0.500
0.000 0.665 0.930
0.661 0.450 0.750
0.550 0.339 0.250
0.665 0.000 0.570
0.128 0.128 0.250
0.335 0.000 0.430
0.667 0.667 0.039
0.667 0.667 0.461
0.339 0.550 0.250
0.333 0.333 0.539
0.872 0.872 0.750
0.000 0.665 0.570
0.665 0.000 0.930
0.000 0.335 0.430
0.333 0.333 0.961
0.450 0.661 0.750
0.335 0.000 0.070
0.000 0.335 0.070
0.007 0.328 0.750
0.993 0.672 0.250
0.672 0.993 0.250
0.328 0.007 0.750
```

=====

Crystalline Ho2InSnPt4 at its relaxed geometry, computed with PBE.

Values from the calculation:
- calculated volume (Å³/atom) = 20.3
- uncorrected energy (eV for the cell shown) = -48.0
- ρ (g/cm3) = 13.727
- total magnetic moment (Bohr magnetons per cell) = 0.00

POSCAR file:
```
Ho2InSnPt4
1.0
-3.324 -1.450 -2.764
2.404 -3.005 2.446
-5.942 0.745 6.755
Ho Pt Sn In
2 4 1 1
Direct
0.667 0.333 0.249
0.333 0.667 0.751
0.333 0.667 0.409
0.333 0.667 0.091
0.667 0.333 0.591
0.667 0.333 0.909
0.000 0.000 0.500
0.000 0.000 0.000
```

=====

Crystalline TbDy2Ga3NiSn2 at its relaxed geometry, computed with PBE.

Values from the calculation:
- calculated volume (Å³/atom) = 21.8
- uncorrected energy (eV for the cell shown) = -42.0
- ρ (g/cm3) = 8.370
- total magnetic moment (Bohr magnetons per cell) = 0.00

POSCAR file:
```
TbDy2Ga3NiSn2
1.0
4.264 0.000 0.000
0.000 6.321 3.641
0.000 -6.321 3.641
Tb Ga Ni Dy Sn
1 3 1 2 2
Direct
0.000 0.621 0.621
0.500 0.000 0.781
0.500 0.220 0.220
0.500 0.781 0.000
0.000 0.001 0.001
0.000 0.000 0.378
0.000 0.378 0.000
0.500 0.667 0.332
0.500 0.332 0.667
```

=====

Q: Which of these has the lowest ρ?
A: Nd2Al9Co3

=====

Q: What is the formula in the first record?
A: LiReMoPb

=====

Q: Which of these has the lowest ρ?
A: Nd2Al9Co3

=====

Q: The highest calculated volume belongs to which entry?
A: BiMoPb